Entry from the Alexandria database: a relaxed structure of NbNi14Sb (PBE).

a b c (Å): 5.152 5.152 7.102
angles (deg): 90.00 90.00 90.00
Last column: magnetic moment on the atom in μB.
Atoms (fractional coordinates):
Nb (0.875, 0.875, 0.500)  -0.10
Ni (0.875, 0.875, 0.000)  0.52
Ni (0.375, 0.375, 0.000)  0.45
Ni (0.875, 0.375, 0.500)  0.04
Ni (0.875, 0.375, 0.000)  0.43
Ni (0.375, 0.875, 0.500)  0.04
Ni (0.375, 0.875, 0.000)  0.43
Ni (0.627, 0.123, 0.239)  0.21
Ni (0.627, 0.123, 0.761)  0.21
Ni (0.123, 0.627, 0.239)  0.21
Ni (0.123, 0.627, 0.761)  0.21
Ni (0.627, 0.627, 0.239)  0.21
Ni (0.627, 0.627, 0.761)  0.21
Ni (0.123, 0.123, 0.239)  0.21
Ni (0.123, 0.123, 0.761)  0.21
Sb (0.375, 0.375, 0.500)  -0.01

Results
- electronic total energy (eV/cell) = -96.3
- density of states at the Fermi level (states/eV per atom) = 1.758

=====

Entry from the Alexandria database: a relaxed structure of NbNi12Sb3 (PBE).

a b c (Å): 3.722 3.722 14.889
angles (deg): 90.00 90.00 90.00
Atoms (fractional coordinates):
Nb (0.000, 0.000, 0.000)
Ni (0.500, 0.500, 0.000)
Ni (0.500, 0.500, 0.248)
Ni (0.500, 0.500, 0.500)
Ni (0.500, 0.500, 0.752)
Ni (0.500, 0.000, 0.120)
Ni (0.500, 0.000, 0.374)
Ni (0.500, 0.000, 0.626)
Ni (0.500, 0.000, 0.880)
Ni (0.000, 0.500, 0.120)
Ni (0.000, 0.500, 0.374)
Ni (0.000, 0.500, 0.626)
Ni (0.000, 0.500, 0.880)
Sb (0.000, 0.000, 0.250)
Sb (0.000, 0.000, 0.500)
Sb (0.000, 0.000, 0.750)

Results
- electronic total energy (eV/cell) = -94.5
- density of states at the Fermi level (states/eV per atom) = 0.913

=====

Entry from the Alexandria database: a relaxed structure of NbNiSb (PBE).

a b c (Å): 4.983 5.926 8.463
angles (deg): 90.00 125.97 90.00
Atoms (fractional coordinates):
Nb (0.875, 0.796, 0.125)
Nb (0.125, 0.796, 0.875)
Nb (0.875, 0.296, 0.625)
Nb (0.125, 0.296, 0.375)
Ni (0.000, 0.355, 0.000)
Ni (0.000, 0.855, 0.500)
Ni (0.500, 0.731, 0.500)
Ni (0.500, 0.231, 0.000)
Sb (0.462, 0.045, 0.252)
Sb (0.538, 0.045, 0.748)
Sb (0.462, 0.545, 0.752)
Sb (0.538, 0.545, 0.248)

Results
- electronic total energy (eV/cell) = -80.9
- density of states at the Fermi level (states/eV per atom) = 0.466

=====

Entry from the Alexandria database: a relaxed structure of NbNi9Sb2 (PBE).

a b c (Å): 3.718 3.718 11.159
angles (deg): 90.00 90.00 90.00
Atoms (fractional coordinates):
Nb (0.000, 0.000, 0.000)
Ni (0.500, 0.500, 0.000)
Ni (0.500, 0.500, 0.330)
Ni (0.500, 0.500, 0.670)
Ni (0.500, 0.000, 0.160)
Ni (0.500, 0.000, 0.500)
Ni (0.500, 0.000, 0.840)
Ni (0.000, 0.500, 0.160)
Ni (0.000, 0.500, 0.500)
Ni (0.000, 0.500, 0.840)
Sb (0.000, 0.000, 0.334)
Sb (0.000, 0.000, 0.666)

Results
- electronic total energy (eV/cell) = -72.5
- density of states at the Fermi level (states/eV per atom) = 0.789

=====

Entry from the Alexandria database: a relaxed structure of NbNiSb (PBE).

a b c (Å): 5.744 3.785 9.803
angles (deg): 90.00 104.08 90.00
Atoms (fractional coordinates):
Nb (0.034, 0.000, 0.044)
Nb (0.034, 0.500, 0.544)
Nb (0.347, 0.000, 0.749)
Nb (0.347, 0.500, 0.249)
Ni (0.730, 0.000, 0.400)
Ni (0.730, 0.500, 0.900)
Ni (0.582, 0.000, 0.097)
Ni (0.582, 0.500, 0.597)
Sb (0.320, 0.000, 0.452)
Sb (0.320, 0.500, 0.952)
Sb (0.849, 0.000, 0.730)
Sb (0.849, 0.500, 0.230)

Results
- electronic total energy (eV/cell) = -81.2
- density of states at the Fermi level (states/eV per atom) = 0.938

=====

Entry from the Alexandria database: a relaxed structure of NbNiSb (PBE).

a b c (Å): 4.072 6.926 7.284
angles (deg): 90.00 90.00 90.00
Atoms (fractional coordinates):
Nb (0.000, 0.000, 0.827)
Nb (0.500, 0.500, 0.327)
Nb (0.000, 0.500, 0.918)
Nb (0.500, 0.000, 0.418)
Ni (0.000, 0.181, 0.210)
Ni (0.000, 0.819, 0.210)
Ni (0.500, 0.681, 0.710)
Ni (0.500, 0.319, 0.710)
Sb (0.000, 0.272, 0.534)
Sb (0.000, 0.728, 0.534)
Sb (0.500, 0.772, 0.034)
Sb (0.500, 0.228, 0.034)

Results
- electronic total energy (eV/cell) = -81.4
- density of states at the Fermi level (states/eV per atom) = 0.513

=====

Entry from the Alexandria database: a relaxed structure of NbNiSb3 (PBE).

a b c (Å): 4.934 4.934 4.934
angles (deg): 90.00 90.00 90.00
Last column: magnetic moment on the atom in μB.
Atoms (fractional coordinates):
Sb (0.000, 0.500, 0.000)  -0.04
Sb (0.000, 0.000, 0.500)  -0.05
Sb (0.500, 0.000, 0.000)  -0.04
Nb (0.500, 0.500, 0.500)  2.01
Ni (0.000, 0.000, 0.000)  -0.14

Results
- electronic total energy (eV/cell) = -25.0
- density of states at the Fermi level (states/eV per atom) = 0.777
- polymorph energy (0 for the lowest one) (meV/atom) = 0

=====

Entry from the Alexandria database: a relaxed structure of Nb2NiSb (PBE).

a b c (Å): 7.254 7.254 5.837
angles (deg): 51.58 51.58 90.00
Atoms (fractional coordinates):
Sb (0.000, 0.000, 0.000)
Sb (0.750, 0.250, 0.500)
Nb (0.595, 0.125, 0.250)
Nb (0.155, 0.625, 0.250)
Nb (0.375, 0.405, 0.750)
Nb (0.875, 0.845, 0.750)
Ni (0.500, 0.500, 0.000)
Ni (0.250, 0.750, 0.500)

Results
- electronic total energy (eV/cell) = -58.8
- density of states at the Fermi level (states/eV per atom) = 0.917

=====

Entry from the Alexandria database: a relaxed structure of NbNiSb (PBE).

a b c (Å): 4.908 6.519 6.352
angles (deg): 90.00 90.00 90.00
Atoms (fractional coordinates):
Nb (0.250, 0.364, 0.890)
Nb (0.750, 0.636, 0.890)
Nb (0.750, 0.864, 0.390)
Nb (0.250, 0.136, 0.390)
Ni (0.000, 0.000, 0.027)
Ni (0.500, 0.000, 0.027)
Ni (0.500, 0.500, 0.527)
Ni (0.000, 0.500, 0.527)
Sb (0.250, 0.682, 0.200)
Sb (0.750, 0.318, 0.200)
Sb (0.750, 0.182, 0.700)
Sb (0.250, 0.818, 0.700)

Results
- electronic total energy (eV/cell) = -81.6
- density of states at the Fermi level (states/eV per atom) = 0.901

=====

Entry from the Alexandria database: a relaxed structure of Nb3Ni3Sb4 (PBE).

a b c (Å): 7.772 7.772 7.772
angles (deg): 109.47 109.47 109.47
Last column: magnetic moment on the atom in μB.
Atoms (fractional coordinates):
Nb (0.625, 0.750, 0.875)  0.76
Nb (0.875, 0.250, 0.625)  0.76
Nb (0.125, 0.375, 0.250)  0.76
Nb (0.375, 0.125, 0.750)  0.76
Nb (0.250, 0.875, 0.125)  0.76
Nb (0.750, 0.625, 0.375)  0.76
Ni (0.125, 0.750, 0.375)  0.11
Ni (0.375, 0.250, 0.125)  0.11
Ni (0.625, 0.875, 0.250)  0.11
Ni (0.875, 0.625, 0.750)  0.11
Ni (0.250, 0.375, 0.625)  0.11
Ni (0.750, 0.125, 0.875)  0.11
Sb (0.000, 0.000, 0.329)  -0.03
Sb (0.500, 0.329, 0.500)  -0.03
Sb (0.671, 0.171, 0.171)  -0.03
Sb (0.000, 0.000, 0.829)  -0.03
Sb (0.829, 0.500, 0.000)  -0.03
Sb (0.500, 0.829, 0.500)  -0.03
Sb (0.329, 0.500, 0.000)  -0.03
Sb (0.171, 0.671, 0.671)  -0.03

Results
- electronic total energy (eV/cell) = -129.9
- density of states at the Fermi level (states/eV per atom) = 0.870

=====

Entry from the Alexandria database: a relaxed structure of NbNiSb (PBE).

a b c (Å): 4.522 5.200 5.393
angles (deg): 65.14 73.99 64.68
Atoms (fractional coordinates):
Nb (0.143, 0.709, 0.122)
Nb (0.612, 0.515, 0.505)
Ni (0.840, 0.374, 0.994)
Ni (0.258, 0.154, 0.612)
Sb (0.902, 0.859, 0.612)
Sb (0.431, 0.121, 0.099)

Results
- electronic total energy (eV/cell) = -40.4
- density of states at the Fermi level (states/eV per atom) = 0.949

=====

Entry from the Alexandria database: a relaxed structure of Nb2NiSnSb (PBE).

a b c (Å): 5.132 4.501 5.132
angles (deg): 90.00 90.00 90.00
Atoms (fractional coordinates):
Sb (0.000, 0.000, 0.000)
Nb (0.000, 0.000, 0.500)
Nb (0.500, 0.000, 0.000)
Sn (0.500, 0.500, 0.500)
Ni (0.000, 0.500, 0.000)

Results
- electronic total energy (eV/cell) = -29.1
- density of states at the Fermi level (states/eV per atom) = 1.239

=====

Entry from the Alexandria database: a relaxed structure of NbNiSnSb2 (PBE).

a b c (Å): 5.359 4.748 5.359
angles (deg): 90.00 90.00 90.00
Atoms (fractional coordinates):
Sb (0.000, 0.000, 0.500)
Sb (0.500, 0.000, 0.000)
Nb (0.000, 0.000, 0.000)
Sn (0.500, 0.500, 0.500)
Ni (0.000, 0.500, 0.000)

Results
- electronic total energy (eV/cell) = -25.0
- density of states at the Fermi level (states/eV per atom) = 1.129

=====

Entry from the Alexandria database: a relaxed structure of NbNiSbTe2 (PBE).

a b c (Å): 5.013 5.013 4.805
angles (deg): 90.00 90.00 90.00
Atoms (fractional coordinates):
Sb (0.000, 0.000, 0.500)
Nb (0.500, 0.500, 0.500)
Te (0.000, 0.500, 0.000)
Te (0.500, 0.000, 0.000)
Ni (0.000, 0.000, 0.000)

Results
- electronic total energy (eV/cell) = -22.8
- density of states at the Fermi level (states/eV per atom) = 1.341
- polymorph energy (0 for the lowest one) (meV/atom) = 0

=====

Entry from the Alexandria database: a relaxed structure of NbNiSbTe2 (PBE).

a b c (Å): 5.347 5.347 5.396
angles (deg): 90.00 90.00 90.00
Last column: magnetic moment on the atom in μB.
Atoms (fractional coordinates):
Sb (0.000, 0.000, 0.500)  0.02
Nb (0.000, 0.000, 0.000)  -0.06
Te (0.000, 0.500, 0.000)  0.04
Te (0.500, 0.000, 0.000)  0.04
Ni (0.500, 0.500, 0.500)  0.84

Results
- electronic total energy (eV/cell) = -22.3
- density of states at the Fermi level (states/eV per atom) = 2.536
- polymorph energy (0 for the lowest one) (meV/atom) = 116

=====

Entry from the Alexandria database: a relaxed structure of NbV2NiSb (PBE).

a b c (Å): 4.836 5.103 4.836
angles (deg): 90.00 90.00 90.00
Last column: magnetic moment on the atom in μB.
Atoms (fractional coordinates):
Sb (0.000, 0.000, 0.000)  -0.05
Nb (0.000, 0.500, 0.000)  -0.81
V (0.000, 0.000, 0.500)  2.09
V (0.500, 0.000, 0.000)  1.85
Ni (0.500, 0.500, 0.500)  -0.68

Results
- electronic total energy (eV/cell) = -29.5
- density of states at the Fermi level (states/eV per atom) = 1.331

=====

Entry from the Alexandria database: a relaxed structure of ScNbNi4 (PBE).

a b c (Å): 4.847 4.847 4.847
angles (deg): 60.00 60.00 60.00
Atoms (fractional coordinates):
Sc (0.000, 0.000, 0.000)
Ni (0.625, 0.625, 0.125)
Ni (0.625, 0.125, 0.625)
Ni (0.625, 0.625, 0.625)
Ni (0.125, 0.625, 0.625)
Nb (0.250, 0.250, 0.250)

Results
- electronic total energy (eV/cell) = -41.3
- density of states at the Fermi level (states/eV per atom) = 1.434
- energy of formation from the pure elements (eV/atom) = -0.2987

=====

Entry from the Alexandria database: a relaxed structure of ScNb3Ni (PBE).

a b c (Å): 4.697 4.697 4.697
angles (deg): 90.00 90.00 90.00
Last column: magnetic moment on the atom in μB.
Atoms (fractional coordinates):
Sc (0.000, 0.000, 0.000)  0.02
Ni (0.500, 0.500, 0.500)  0.43
Nb (0.000, 0.500, 0.000)  0.10
Nb (0.000, 0.000, 0.500)  0.09
Nb (0.500, 0.000, 0.000)  0.16

Results
- electronic total energy (eV/cell) = -33.1
- density of states at the Fermi level (states/eV per atom) = 1.808
- energy of formation from the pure elements (eV/atom) = 1.8530
- polymorph energy (0 for the lowest one) (meV/atom) = 1210

=====

Entry from the Alexandria database: a relaxed structure of Sc3NbNi (PBE).

a b c (Å): 4.794 4.794 4.794
angles (deg): 90.00 90.00 90.00
Last column: magnetic moment on the atom in μB.
Atoms (fractional coordinates):
Sc (0.000, 0.500, 0.000)  -0.04
Sc (0.000, 0.000, 0.500)  0.00
Sc (0.500, 0.000, 0.000)  -0.07
Ni (0.000, 0.000, 0.000)  0.03
Nb (0.500, 0.500, 0.500)  0.70

Results
- electronic total energy (eV/cell) = -33.4
- density of states at the Fermi level (states/eV per atom) = 1.033
- energy of formation from the pure elements (eV/atom) = 0.2922
- polymorph energy (0 for the lowest one) (meV/atom) = 0

=====

Entry from the Alexandria database: a relaxed structure of ScNbNi6 (PBE).

a b c (Å): 6.399 6.399 10.450
angles (deg): 90.00 90.00 109.45
Atoms (fractional coordinates):
Sc (0.749, 0.251, 0.000)
Sc (0.251, 0.749, 0.000)
Sc (0.500, 0.500, 0.752)
Sc (0.500, 0.500, 0.248)
Nb (0.749, 0.251, 0.500)
Nb (0.251, 0.749, 0.500)
Nb (0.000, 0.000, 0.754)
Nb (0.000, 0.000, 0.246)
Ni (0.752, 0.248, 0.745)
Ni (0.122, 0.371, 0.872)
Ni (0.878, 0.629, 0.872)
Ni (0.248, 0.752, 0.745)
Ni (0.629, 0.878, 0.872)
Ni (0.371, 0.122, 0.872)
Ni (0.500, 0.500, 0.500)
Ni (0.879, 0.628, 0.622)
Ni (0.628, 0.879, 0.622)
Ni (0.752, 0.248, 0.255)
Ni (0.121, 0.372, 0.378)
Ni (0.879, 0.628, 0.378)
Ni (0.248, 0.752, 0.255)
Ni (0.628, 0.879, 0.378)
Ni (0.372, 0.121, 0.378)
Ni (0.500, 0.500, 0.000)
Ni (0.878, 0.629, 0.128)
Ni (0.629, 0.878, 0.128)
Ni (0.000, 0.000, 0.500)
Ni (0.372, 0.121, 0.622)
Ni (0.121, 0.372, 0.622)
Ni (0.000, 0.000, 0.000)
Ni (0.371, 0.122, 0.128)
Ni (0.122, 0.371, 0.128)

Results
- electronic total energy (eV/cell) = -215.9
- density of states at the Fermi level (states/eV per atom) = 0.306
- energy of formation from the pure elements (eV/atom) = -0.3593

=====

Entry from the Alexandria database: a relaxed structure of Sc2NbNi (PBE).

a b c (Å): 7.333 7.333 5.908
angles (deg): 51.64 51.64 90.00
Atoms (fractional coordinates):
Sc (0.578, 0.125, 0.250)
Sc (0.172, 0.625, 0.250)
Sc (0.375, 0.422, 0.750)
Sc (0.875, 0.828, 0.750)
Ni (0.500, 0.500, 0.000)
Ni (0.250, 0.750, 0.500)
Nb (0.000, 0.000, 0.000)
Nb (0.750, 0.250, 0.500)

Results
- electronic total energy (eV/cell) = -55.5
- density of states at the Fermi level (states/eV per atom) = 1.277
- energy of formation from the pure elements (eV/atom) = 0.1855
- polymorph energy (0 for the lowest one) (meV/atom) = 356

=====

Entry from the Alexandria database: a relaxed structure of Sc2NbNi (PBE).

a b c (Å): 4.711 4.711 4.711
angles (deg): 60.00 60.00 60.00
Last column: magnetic moment on the atom in μB.
Atoms (fractional coordinates):
Sc (0.250, 0.250, 0.250)  0.27
Sc (0.750, 0.750, 0.750)  0.27
Ni (0.000, 0.000, 0.000)  0.23
Nb (0.500, 0.500, 0.500)  1.72

Results
- electronic total energy (eV/cell) = -28.2
- density of states at the Fermi level (states/eV per atom) = 1.325
- energy of formation from the pure elements (eV/atom) = 0.0910
- polymorph energy (0 for the lowest one) (meV/atom) = 261

=====

Entry from the Alexandria database: a relaxed structure of ScNb2Ni (PBE).

a b c (Å): 7.525 7.525 5.921
angles (deg): 50.55 50.55 90.00
Atoms (fractional coordinates):
Sc (0.500, 0.500, 0.000)
Sc (0.250, 0.750, 0.500)
Ni (0.000, 0.000, 0.000)
Ni (0.750, 0.250, 0.500)
Nb (0.670, 0.125, 0.250)
Nb (0.080, 0.625, 0.250)
Nb (0.375, 0.330, 0.750)
Nb (0.875, 0.920, 0.750)

Results
- electronic total energy (eV/cell) = -62.4
- density of states at the Fermi level (states/eV per atom) = 1.265
- energy of formation from the pure elements (eV/atom) = 0.2577
- polymorph energy (0 for the lowest one) (meV/atom) = 13